# 1
Entry from Alexandria via LeMat-Bulk: a geometry-optimized NaMgO2F structure (PBEsol).

Properties
- formation energy from raw total energies (eV per formula unit) = -7.98
- crystal system = tetragonal

```
data_NaMgO2F
_cell_length_a 3.964
_cell_length_b 3.964
_cell_length_c 3.981
_cell_angle_alpha 90.00
_cell_angle_beta 90.00
_cell_angle_gamma 90.00
_space_group_name_H-M_alt 'P 4/m m m'
_space_group_IT_number 123
_space_group_name_Hall '-P 4 2'
loop_
_atom_site_label
_atom_site_type_symbol
_atom_site_fract_x
_atom_site_fract_y
_atom_site_fract_z
Na1 Na 0.000 0.000 0.000
Mg1 Mg 0.500 0.500 0.500
O1 O 0.000 0.500 0.500
F1 F 0.500 0.500 0.000
```

=====

# 2
Entry from Alexandria via LeMat-Bulk: a geometry-optimized MnZn2Cr structure (PBEsol).

Properties
- energy above the lowest structure with this stoichiometry (eV/atom) = 0.0659
- crystal system = orthorhombic

```
data_MnZn2Cr
_cell_length_a 2.833
_cell_length_b 4.104
_cell_length_c 8.382
_cell_angle_alpha 90.00
_cell_angle_beta 90.00
_cell_angle_gamma 90.00
_space_group_name_H-M_alt 'C m m 2'
_space_group_IT_number 35
loop_
_space_group_symop_operation_xyz
'x,y,z'
'-x,-y,z'
'-x,y,z'
'x,-y,z'
'x+1/2,y+1/2,z'
'-x+1/2,-y+1/2,z'
'-x+1/2,y+1/2,z'
'x+1/2,-y+1/2,z'
loop_
_atom_site_label
_atom_site_type_symbol
_atom_site_fract_x
_atom_site_fract_y
_atom_site_fract_z
Mn1 Mn 0.000 0.000 0.000
Zn1 Zn 0.000 0.000 0.526
Zn2 Zn 0.000 0.500 0.251
Cr1 Cr 0.000 0.500 0.782
```

=====

# 3
Entry from Alexandria via LeMat-Bulk: a geometry-optimized InSiW structure (PBEsol).

Properties
- formation energy from raw total energies (eV per formula unit) = 2.16
- crystal system = cubic

```
data_InSiW
_cell_length_a 6.009
_cell_length_b 6.009
_cell_length_c 6.009
_cell_angle_alpha 90.00
_cell_angle_beta 90.00
_cell_angle_gamma 90.00
_space_group_name_H-M_alt 'F -4 3 m'
_space_group_IT_number 216
_space_group_name_Hall 'F -4 2 3'
loop_
_atom_site_label
_atom_site_type_symbol
_atom_site_fract_x
_atom_site_fract_y
_atom_site_fract_z
In1 In 0.000 0.000 0.000
Si1 Si 0.250 0.250 0.250
W1 W 0.000 0.000 0.500
```

=====

# 4
Entry from Alexandria via LeMat-Bulk: a geometry-optimized HoCoGe structure (PBEsol).

Properties
- crystal system = orthorhombic

```
data_HoCoGe
_cell_length_a 6.794
_cell_length_b 4.179
_cell_length_c 6.972
_cell_angle_alpha 90.00
_cell_angle_beta 90.00
_cell_angle_gamma 90.00
_space_group_name_H-M_alt 'P n m a'
_space_group_IT_number 62
loop_
_space_group_symop_operation_xyz
'x,y,z'
'-x,-y,-z'
'-x+1/2,-y,z+1/2'
'x+1/2,y,-z+1/2'
'x+1/2,-y+1/2,-z+1/2'
'-x+1/2,y+1/2,z+1/2'
'-x,y+1/2,-z'
'x,-y+1/2,z'
loop_
_atom_site_label
_atom_site_type_symbol
_atom_site_fract_x
_atom_site_fract_y
_atom_site_fract_z
Ho1 Ho 0.014 0.250 0.195
Co1 Co 0.152 0.750 0.434
Ge1 Ge 0.201 0.250 0.604
```

=====

# 5
Entry from Alexandria via LeMat-Bulk: a geometry-optimized AgRh2Pb structure (PBEsol).

Properties
- crystal system = trigonal

```
data_AgRh2Pb
_cell_length_a 3.0729
_cell_length_b 3.0729
_cell_length_c 25.1260
_cell_angle_alpha 90.00
_cell_angle_beta 90.00
_cell_angle_gamma 120.00
_space_group_name_H-M_alt 'R -3 m'
_space_group_IT_number 166
_space_group_name_Hall '-R 3 2"'
loop_
_atom_site_label
_atom_site_type_symbol
_atom_site_fract_x
_atom_site_fract_y
_atom_site_fract_z
Ag1 Ag 0.0000 0.0000 0.0000
Rh1 Rh 0.0000 0.0000 0.2486
Pb1 Pb 0.0000 0.0000 0.5000
```

=====

# 6
Entry from Alexandria via LeMat-Bulk: a geometry-optimized KLi3Zr structure (PBEsol).

Properties
- crystal system = cubic

```
data_KLi3Zr
_cell_length_a 4.948
_cell_length_b 4.948
_cell_length_c 4.948
_cell_angle_alpha 90.00
_cell_angle_beta 90.00
_cell_angle_gamma 90.00
_space_group_name_H-M_alt 'P m -3 m'
_space_group_IT_number 221
_space_group_name_Hall '-P 4 2 3'
loop_
_atom_site_label
_atom_site_type_symbol
_atom_site_fract_x
_atom_site_fract_y
_atom_site_fract_z
K1 K 0.000 0.000 0.000
Li1 Li 0.000 0.000 0.500
Zr1 Zr 0.500 0.500 0.500
```

=====

# 7
Entry from Alexandria via LeMat-Bulk: a geometry-optimized NiP2H2O7 structure (PBEsol).

Properties
- crystal system = monoclinic

```
data_NiP2H2O7
_cell_length_a 8.753
_cell_length_b 12.753
_cell_length_c 9.531
_cell_angle_alpha 90.00
_cell_angle_beta 106.30
_cell_angle_gamma 90.00
_space_group_name_H-M_alt 'P 1 21/c 1'
_space_group_IT_number 14
loop_
_space_group_symop_operation_xyz
'x,y,z'
'-x,-y,-z'
'-x,y+1/2,-z+1/2'
'x,-y+1/2,z+1/2'
loop_
_atom_site_label
_atom_site_type_symbol
_atom_site_fract_x
_atom_site_fract_y
_atom_site_fract_z
Ni1 Ni 0.249 0.248 0.250
Ni2 Ni 0.250 0.093 0.501
P1 P 0.002 0.212 0.934
P2 P 0.036 0.043 0.719
P3 P 0.461 0.039 0.280
P4 P 0.495 0.208 0.065
H1 H 0.042 0.603 0.343
H2 H 0.225 0.733 0.026
H3 H 0.272 0.748 0.790
H4 H 0.456 0.610 0.663
O1 O 0.029 0.612 0.667
O2 O 0.057 0.181 0.094
O3 O 0.105 0.520 0.907
O4 O 0.114 0.215 0.385
O5 O 0.117 0.552 0.311
O6 O 0.164 0.110 0.680
O7 O 0.171 0.738 0.106
O8 O 0.328 0.748 0.898
O9 O 0.334 0.106 0.320
O10 O 0.381 0.560 0.697
O11 O 0.385 0.218 0.614
O12 O 0.393 0.520 0.097
O13 O 0.444 0.185 0.902
O14 O 0.485 0.603 0.345
```

=====

# 8
Entry from Alexandria via LeMat-Bulk: a geometry-optimized Gd2ZnIn structure (PBEsol).

Properties
- crystal system = cubic

```
data_Gd2ZnIn
_cell_length_a 7.296
_cell_length_b 7.296
_cell_length_c 7.296
_cell_angle_alpha 90.00
_cell_angle_beta 90.00
_cell_angle_gamma 90.00
_space_group_name_H-M_alt 'F m -3 m'
_space_group_IT_number 225
_space_group_name_Hall '-F 4 2 3'
loop_
_atom_site_label
_atom_site_type_symbol
_atom_site_fract_x
_atom_site_fract_y
_atom_site_fract_z
Gd1 Gd 0.250 0.250 0.250
Zn1 Zn 0.000 0.000 0.000
In1 In 0.000 0.000 0.500
```

=====

# 9
Entry from Alexandria via LeMat-Bulk: a geometry-optimized GeH3F structure (PBEsol).

Properties
- crystal system = cubic

```
data_GeH3F
_cell_length_a 3.408
_cell_length_b 3.408
_cell_length_c 3.408
_cell_angle_alpha 90.00
_cell_angle_beta 90.00
_cell_angle_gamma 90.00
_space_group_name_H-M_alt 'P m -3 m'
_space_group_IT_number 221
_space_group_name_Hall '-P 4 2 3'
loop_
_atom_site_label
_atom_site_type_symbol
_atom_site_fract_x
_atom_site_fract_y
_atom_site_fract_z
Ge1 Ge 0.000 0.000 0.000
H1 H 0.000 0.500 0.500
F1 F 0.500 0.500 0.500
```

=====

# 10
Entry from Alexandria via LeMat-Bulk: a geometry-optimized FeSiHg2 structure (PBEsol).

Properties
- formation energy from raw total energies (eV per formula unit) = 1.95
- crystal system = tetragonal

```
data_FeSiHg2
_cell_length_a 3.976
_cell_length_b 3.976
_cell_length_c 8.554
_cell_angle_alpha 90.00
_cell_angle_beta 90.00
_cell_angle_gamma 90.00
_space_group_name_H-M_alt 'I -4 m 2'
_space_group_IT_number 119
_space_group_name_Hall 'I -4 -2'
loop_
_atom_site_label
_atom_site_type_symbol
_atom_site_fract_x
_atom_site_fract_y
_atom_site_fract_z
Fe1 Fe 0.000 0.000 0.000
Si1 Si 0.000 0.500 0.750
Hg1 Hg 0.000 0.000 0.500
Hg2 Hg 0.000 0.500 0.250
```

=====

# 11
Entry from Alexandria via LeMat-Bulk: a geometry-optimized TaW structure (PBEsol).

Properties
- crystal system = tetragonal

```
data_TaW
_cell_length_a 3.190
_cell_length_b 3.190
_cell_length_c 6.480
_cell_angle_alpha 90.00
_cell_angle_beta 90.00
_cell_angle_gamma 90.00
_space_group_name_H-M_alt 'P 4/n m m'
_space_group_IT_number 129
loop_
_space_group_symop_operation_xyz
'x,y,z'
'-x,-y,-z'
'-y+1/2,x,z'
'y+1/2,-x,-z'
'-x+1/2,-y+1/2,z'
'x+1/2,y+1/2,-z'
'y,-x+1/2,z'
'-y,x+1/2,-z'
'x+1/2,-y,-z'
'-x+1/2,y,z'
'-y,-x,-z'
'y,x,z'
'-x,y+1/2,-z'
'x,-y+1/2,z'
'y+1/2,x+1/2,-z'
'-y+1/2,-x+1/2,z'
loop_
_atom_site_label
_atom_site_type_symbol
_atom_site_fract_x
_atom_site_fract_y
_atom_site_fract_z
Ta1 Ta 0.250 0.250 0.130
W1 W 0.250 0.250 0.619
```

=====

# 12
Entry from Alexandria via LeMat-Bulk: a geometry-optimized HgTeIr2 structure (PBEsol).

Properties
- energy above the lowest structure with this stoichiometry (eV/atom) = 0.0782
- formation energy from raw total energies (eV per formula unit) = 2.19
- crystal system = orthorhombic

```
data_HgTeIr2
_cell_length_a 6.172
_cell_length_b 7.253
_cell_length_c 3.116
_cell_angle_alpha 90.00
_cell_angle_beta 90.00
_cell_angle_gamma 90.00
_space_group_name_H-M_alt 'C m m m'
_space_group_IT_number 65
_space_group_name_Hall '-C 2 2'
loop_
_atom_site_label
_atom_site_type_symbol
_atom_site_fract_x
_atom_site_fract_y
_atom_site_fract_z
Hg1 Hg 0.000 0.000 0.000
Te1 Te 0.000 0.500 0.000
Ir1 Ir 0.250 0.250 0.500
```

=====

Number 1: size of the total moment 2.00 μB/cell, E_tot -23.526 eV for the cell shown. Number 2: size of the total moment 1.84 μB/cell, E_tot -45.310 eV for the cell shown. Number 3: size of the total moment 0.00 μB/cell, E_tot -81.514 eV for the cell shown. Number 4: size of the total moment 0.00 μB/cell, E_tot -79.298 eV for the cell shown. Number 5: size of the total moment 0.01 μB/cell, E_tot -66.212 eV for the cell shown. Number 6: size of the total moment 2.96 μB/cell, E_tot -10.909 eV for the cell shown. Number 7: size of the total moment 16.01 μB/cell, E_tot -647.119 eV for the cell shown. Number 8: size of the total moment 59.55 μB/cell, E_tot -140.889 eV for the cell shown. Number 9: size of the total moment 0.00 μB/cell, E_tot -13.181 eV for the cell shown. Number 10: size of the total moment 4.59 μB/cell, E_tot -27.781 eV for the cell shown. Number 11: size of the total moment 0.00 μB/cell, E_tot -53.044 eV for the cell shown. Number 12: size of the total moment 0.00 μB/cell, E_tot -43.090 eV for the cell shown.